Entry 1:
VASP calculation (PBE) on an optimized crystal structure of Ba2NiOs.

Results
As for the total energy: -17.3 eV for the cell shown. The value obtained for the energy above the most stable polymorph in this dataset is 2.25 eV/f.u.

a = 5.3843 Å, b = 5.3843 Å, c = 5.3843 Å
α = 60.00°, β = 60.00°, γ = 60.00°
Sites, in units of the cell vectors:
Ba 0.2500 0.2500 0.2500
Ba 0.7500 0.7500 0.7500
Ni 0.0000 0.0000 0.0000
Os 0.5000 0.5000 0.5000

***

Entry 2:
VASP calculation (PBE) on an optimized crystal structure of BaNiOs2.

Results
As for the total energy: -24.9 eV for the cell shown. The value obtained for the energy above the most stable polymorph in this dataset is 4.41 eV/f.u.

a = 3.8079 Å, b = 3.8079 Å, c = 5.2542 Å
α = 90.00°, β = 90.00°, γ = 90.00°
Sites, in units of the cell vectors:
Ba 0.0000 0.0000 0.0000
Ni 0.5000 0.5000 0.0000
Os 0.0000 0.5000 0.5000
Os 0.5000 0.0000 0.5000

***

Entry 3:
VASP calculation (PBE) on an optimized crystal structure of BaNiOs2.

Results
As for the total energy: -27.6 eV for the cell shown. The value obtained for the energy above the most stable polymorph in this dataset is 1.64 eV/f.u.

a = 3.1543 Å, b = 3.1543 Å, c = 7.7182 Å
α = 90.00°, β = 90.00°, γ = 90.00°
Sites, in units of the cell vectors:
Ba 0.0000 0.0000 0.0000
Ni 0.5000 0.5000 0.3141
Os 0.0000 0.0000 0.4871
Os 0.5000 0.5000 0.6565

***

What are the ΔH_f (0 K) values for these records? In order: 0.8860, 1.3226, 0.6303 eV per atom.
What are the density of states at the Fermi level values for these records? In order: 5.58, 6.17, 4.92 states/eV per cell.
What are the magnetization values for these records? In order: 0.40, 0.00, 0.00 μB per atom.